Record 1
TlPt17 PBE relaxed; E above lowest polymorph = 0.000 eV per atom; SG = P-3m1, No. 164
1.0
-3.7636 -2.5537 3.1801
5.2985 -1.6473 0.1054
6.1010 21.1744 24.2246
Pt Tl
34 2
direct
0.8329 0.6659 0.8580
0.5000 0.0000 0.0000
0.1663 0.3325 0.7177
0.6667 0.3333 0.9293
0.9974 0.4987 0.7869
0.8335 0.1665 0.0708
0.4987 0.5013 0.2131
0.6675 0.8337 0.7177
0.3325 0.1663 0.2823
0.1665 0.3330 0.9292
0.1663 0.8337 0.7177
0.8335 0.6670 0.0708
0.6670 0.8335 0.9292
0.0000 0.0000 0.7874
0.8329 0.1671 0.8580
0.6667 0.3333 0.1408
0.8337 0.1663 0.2823
0.6659 0.8329 0.1420
0.3341 0.1671 0.8580
0.0000 0.5000 0.0000
0.5013 0.4987 0.7869
0.3333 0.6667 0.8592
0.3333 0.6667 0.0707
0.0026 0.5013 0.2131
0.1671 0.8329 0.1420
0.4987 0.9974 0.2131
0.3330 0.1665 0.0708
0.1671 0.3341 0.1420
0.0000 0.0000 0.2126
0.5013 0.0026 0.7869
0.0000 0.0000 0.0000
0.1665 0.8335 0.9292
0.8337 0.6675 0.2823
0.5000 0.5000 0.0000
0.6667 0.3333 0.6903
0.3333 0.6667 0.3097



Record 2
TlPt15 PBE relaxed; E above lowest polymorph = 0.022 eV per atom; SG = P2_1/m, No. 11
1.0
5.5579 0.0000 0.0000
0.0000 2.8248 0.0000
-0.0012 0.0000 45.0304
Pt Tl
30 2
direct
0.6250 0.2500 0.2583
0.1248 0.2500 0.6101
0.6250 0.2500 0.4340
0.3750 0.7500 0.8290
0.6250 0.2500 0.3460
0.3748 0.7500 0.3899
0.6300 0.2500 0.7867
0.3750 0.7500 0.7417
0.3750 0.7500 0.4780
0.3750 0.7500 0.6540
0.8752 0.7500 0.3899
0.8750 0.7500 0.6542
0.3700 0.7500 0.2133
0.1250 0.2500 0.4339
0.1250 0.2500 0.2570
0.1200 0.2500 0.7867
0.8759 0.7500 0.3019
0.8750 0.7500 0.4780
0.1250 0.2500 0.5220
0.6250 0.2500 0.1710
0.1241 0.2500 0.6981
0.8800 0.7500 0.2133
0.3741 0.7500 0.3019
0.3750 0.7500 0.5660
0.8750 0.7500 0.5661
0.8750 0.7500 0.7430
0.6259 0.2500 0.6981
0.1250 0.2500 0.3458
0.6252 0.2500 0.6101
0.6250 0.2500 0.5220
0.8750 0.7500 0.8441
0.1250 0.2500 0.1559



Record 3
TlPt17 PBE relaxed; E above lowest polymorph = 0.006 eV per atom; SG = P2_1/m, No. 11
1.0
-4.2480 -2.1997 -0.4882
1.0447 -3.0257 4.5434
-14.4554 23.8615 19.2145
Pt Tl
34 2
direct
0.5000 0.2500 0.2039
0.8308 0.7500 0.7273
0.8327 0.2500 0.1355
0.1653 0.2500 0.8636
0.8347 0.7500 0.1364
0.0000 0.5000 0.0000
0.0007 0.4971 0.7950
0.3333 0.9991 0.1366
0.6671 0.5003 0.0680
0.6670 0.4951 0.2724
0.3333 0.5009 0.1366
0.9993 0.5029 0.2050
0.6667 0.4991 0.8634
0.5000 0.7500 0.7961
0.1671 0.7500 0.0681
0.3330 0.5049 0.7276
0.9993 0.9971 0.2050
0.6671 0.9997 0.0680
0.6667 0.0009 0.8634
0.5005 0.7500 0.0002
0.0000 0.0000 0.0000
0.3330 0.9951 0.7276
0.8316 0.7500 0.9319
0.1684 0.2500 0.0681
0.4995 0.2500 0.9998
0.4944 0.7500 0.2058
0.3329 0.4997 0.9320
0.5056 0.2500 0.7942
0.0007 0.0029 0.7950
0.6670 0.0049 0.2724
0.1673 0.7500 0.8645
0.8329 0.2500 0.9319
0.3329 0.0003 0.9320
0.1692 0.2500 0.2727
0.1663 0.7500 0.2961
0.8337 0.2500 0.7039



Record 4
Tl5Pt2 PBE relaxed; E = -3.423 eV per atom; SG = Im-3m, No. 229
1.0
-5.0684 5.0684 5.0684
5.0684 -5.0684 5.0684
5.0684 5.0684 -5.0684
Tl Pt
15 6
direct
0.7321 0.7321 0.4642
0.7321 0.4642 0.7321
0.5000 0.0000 0.5000
0.7321 0.0000 0.2679
0.5358 0.2679 0.2679
0.2679 0.5358 0.2679
0.7321 0.2679 0.0000
0.2679 0.0000 0.7321
0.2679 0.2679 0.5358
0.4642 0.7321 0.7321
0.5000 0.5000 0.0000
0.0000 0.7321 0.2679
0.0000 0.5000 0.5000
0.0000 0.2679 0.7321
0.2679 0.7321 0.0000
0.0000 0.8020 0.8020
0.0000 0.1980 0.1980
0.8020 0.0000 0.8020
0.1980 0.1980 0.0000
0.1980 0.0000 0.1980
0.8020 0.8020 0.0000



Record 5
Tl3Pt2 PBE relaxed; E above lowest polymorph = 0.000 eV per atom; SG = C2/m, No. 12
1.0
-1.8061 4.1930 5.4225
-1.6944 0.7253 6.8447
9.1457 -0.0411 -0.8187
Pt Tl
4 6
direct
0.2471 0.2471 0.2532
0.4634 0.4634 0.3455
0.5366 0.5366 0.6545
0.7529 0.7529 0.7468
0.1472 0.1472 0.8932
0.8594 0.8594 0.5079
0.1406 0.1406 0.4921
0.5870 0.5870 0.1624
0.4130 0.4130 0.8376
0.8528 0.8528 0.1068



Record 6
Tl2Pt3 PBE relaxed; E = -4.687 eV per atom; SG = P6_3/mmc, No. 194
1.0
-1.8544 -1.1074 5.2831
0.1198 -4.1545 -3.9118
13.0585 -3.2900 3.8939
Pt Tl
12 8
direct
0.6674 0.8337 0.4143
0.3326 0.1663 0.5857
0.1663 0.3326 0.0857
0.8337 0.1663 0.5857
0.1663 0.8337 0.0857
0.1663 0.3326 0.4143
0.8337 0.6674 0.5857
0.8337 0.1663 0.9143
0.3326 0.1663 0.9143
0.6674 0.8337 0.0857
0.1663 0.8337 0.4143
0.8337 0.6674 0.9143
0.3333 0.6667 0.9044
0.0000 0.0000 0.2500
0.6667 0.3333 0.7500
0.3333 0.6667 0.5956
0.3333 0.6667 0.2500
0.0000 0.0000 0.7500
0.6667 0.3333 0.0956
0.6667 0.3333 0.4044